[1]
First-principles (meta-GGA SCAN) data for a PBEsol-optimized structure of ReIr2Cl, as listed in the Alexandria database.

```
data_ReIr2Cl
_chemical_formula_sum 'Re1 Ir2 Cl1'
_cell_length_a 2.7481
_cell_length_b 3.6855
_cell_length_c 6.2030
_cell_angle_alpha 90.00
_cell_angle_beta 90.00
_cell_angle_gamma 90.00
_symmetry_space_group_name_H-M 'P m m 2'
_symmetry_Int_Tables_number 25
_symmetry_space_group_name_Hall 'P 2 -2'
loop_
_atom_site_label
_atom_site_type_symbol
_atom_site_fract_x
_atom_site_fract_y
_atom_site_fract_z
Re1 Re 0.0000 0.0000 0.0000
Ir1 Ir 0.0000 0.0000 0.5814
Ir2 Ir 0.5000 0.5000 0.8012
Cl1 Cl 0.0000 0.5000 0.2865
```

Calculated values
The total energy is -54.86 eV per atom. Its energy relative to the elements, uncorrected is 43.83 kJ/mol of atoms.

---

[2]
First-principles (meta-GGA SCAN) data for a PBEsol-optimized structure of K2CrHg, as listed in the Alexandria database.

```
data_K2CrHg
_chemical_formula_sum 'K4 Cr2 Hg2'
_cell_length_a 5.5364
_cell_length_b 5.5364
_cell_length_c 7.8865
_cell_angle_alpha 90.00
_cell_angle_beta 90.00
_cell_angle_gamma 90.00
_symmetry_space_group_name_H-M 'I -4 m 2'
_symmetry_Int_Tables_number 119
_symmetry_space_group_name_Hall 'I -4 -2'
loop_
_atom_site_label
_atom_site_type_symbol
_atom_site_fract_x
_atom_site_fract_y
_atom_site_fract_z
K1 K 0.0000 0.0000 0.0000
K2 K 0.0000 0.5000 0.2500
Cr1 Cr 0.0000 0.0000 0.5000
Hg1 Hg 0.0000 0.5000 0.7500
```

Calculated values
The total energy is -25.51 eV per atom. The value obtained for the energy of formation from the pure elements is 292 meV per atom.

---

[3]
First-principles (meta-GGA SCAN) data for a PBEsol-optimized structure of TlHgPb2, as listed in the Alexandria database.

```
data_TlHgPb2
_chemical_formula_sum 'Tl2 Hg2 Pb4'
_cell_length_a 3.7580
_cell_length_b 5.5326
_cell_length_c 10.6666
_cell_angle_alpha 90.00
_cell_angle_beta 90.00
_cell_angle_gamma 90.00
_symmetry_space_group_name_H-M 'C m m 2'
_symmetry_Int_Tables_number 35
_symmetry_space_group_name_Hall 'C 2 -2'
loop_
_atom_site_label
_atom_site_type_symbol
_atom_site_fract_x
_atom_site_fract_y
_atom_site_fract_z
Tl1 Tl 0.0000 0.0000 0.0000
Hg1 Hg 0.0000 0.5000 0.2335
Pb1 Pb 0.0000 0.0000 0.4748
Pb2 Pb 0.0000 0.5000 0.7367
```

Calculated values
The total energy is -73.00 eV per atom. The value obtained for the energy of formation from the pure elements is 17 meV per atom.

---

[4]
First-principles (meta-GGA SCAN) data for a PBEsol-optimized structure of ZnGeO3, as listed in the Alexandria database.

```
data_ZnGeO3
_chemical_formula_sum 'Zn6 Ge6 O18'
_cell_length_a 4.9863
_cell_length_b 4.9863
_cell_length_c 13.8355
_cell_angle_alpha 90.00
_cell_angle_beta 90.00
_cell_angle_gamma 120.00
_symmetry_space_group_name_H-M 'R -3'
_symmetry_Int_Tables_number 148
_symmetry_space_group_name_Hall '-R 3'
loop_
_atom_site_label
_atom_site_type_symbol
_atom_site_fract_x
_atom_site_fract_y
_atom_site_fract_z
Zn1 Zn 0.0000 0.0000 0.1323
Ge1 Ge 0.0000 0.0000 0.3442
O1 O 0.0161 0.6388 0.9231
```

Calculated values
The total energy is -11.99 eV per atom. Its energy relative to the elements, uncorrected is -167.38 kJ/mol of atoms.

---

[5]
First-principles (meta-GGA SCAN) data for a PBEsol-optimized structure of ZrNb3Al, as listed in the Alexandria database.

```
data_ZrNb3Al
_chemical_formula_sum 'Zr1 Nb3 Al1'
_cell_length_a 4.7190
_cell_length_b 4.7190
_cell_length_c 4.7190
_cell_angle_alpha 90.00
_cell_angle_beta 90.00
_cell_angle_gamma 90.00
_symmetry_space_group_name_H-M 'P m -3 m'
_symmetry_Int_Tables_number 221
_symmetry_space_group_name_Hall '-P 4 2 3'
loop_
_atom_site_label
_atom_site_type_symbol
_atom_site_fract_x
_atom_site_fract_y
_atom_site_fract_z
Zr1 Zr 0.0000 0.0000 0.0000
Nb1 Nb 0.0000 0.5000 0.5000
Al1 Al 0.5000 0.5000 0.5000
```

Calculated values
The total energy is -26.66 eV per atom. The value obtained for the energy of formation from the pure elements is 908 meV per atom.

---

[6]
First-principles (meta-GGA SCAN) data for a PBEsol-optimized structure of AlZnAu2, as listed in the Alexandria database.

```
data_AlZnAu2
_chemical_formula_sum 'Al2 Zn2 Au4'
_cell_length_a 9.1019
_cell_length_b 3.2505
_cell_length_c 4.3933
_cell_angle_alpha 90.00
_cell_angle_beta 104.36
_cell_angle_gamma 90.00
_symmetry_space_group_name_H-M 'C 1 m 1'
_symmetry_Int_Tables_number 8
_symmetry_space_group_name_Hall 'C -2y'
loop_
_atom_site_label
_atom_site_type_symbol
_atom_site_fract_x
_atom_site_fract_y
_atom_site_fract_z
Al1 Al 0.0000 0.0000 0.0000
Zn1 Zn 0.2523 0.5000 0.3302
Au1 Au 0.2601 0.0000 0.8406
Au2 Au 0.4957 0.0000 0.4909
```

Calculated values
The total energy is -40.31 eV per atom. The value obtained for the energy of formation from the pure elements is -413 meV per atom.

---

[7]
First-principles (meta-GGA SCAN) data for a PBEsol-optimized structure of CaLa2VO6, as listed in the Alexandria database.

```
data_CaLa2VO6
_chemical_formula_sum 'Ca3 La6 V3 O18'
_cell_length_a 5.8080
_cell_length_b 5.8080
_cell_length_c 13.3995
_cell_angle_alpha 90.00
_cell_angle_beta 90.00
_cell_angle_gamma 120.00
_symmetry_space_group_name_H-M 'R -3'
_symmetry_Int_Tables_number 148
_symmetry_space_group_name_Hall '-R 3'
loop_
_atom_site_label
_atom_site_type_symbol
_atom_site_fract_x
_atom_site_fract_y
_atom_site_fract_z
Ca1 Ca 0.0000 0.0000 0.0000
La1 La 0.0000 0.0000 0.2609
V1 V 0.0000 0.0000 0.5000
O1 O 0.0386 0.4237 0.2490
```

Calculated values
The total energy is -18.45 eV per atom. Its energy relative to the elements, uncorrected is -325.44 kJ/mol of atoms.

---

[8]
First-principles (meta-GGA SCAN) data for a PBEsol-optimized structure of NbInCu2As, as listed in the Alexandria database.

```
data_NbInCu2As
_chemical_formula_sum 'Nb1 In1 Cu2 As1'
_cell_length_a 4.6785
_cell_length_b 4.6785
_cell_length_c 5.2895
_cell_angle_alpha 90.00
_cell_angle_beta 90.00
_cell_angle_gamma 90.00
_symmetry_space_group_name_H-M 'P 4/m m m'
_symmetry_Int_Tables_number 123
_symmetry_space_group_name_Hall '-P 4 2'
loop_
_atom_site_label
_atom_site_type_symbol
_atom_site_fract_x
_atom_site_fract_y
_atom_site_fract_z
Nb1 Nb 0.0000 0.0000 0.0000
In1 In 0.0000 0.0000 0.5000
Cu1 Cu 0.0000 0.5000 0.0000
As1 As 0.5000 0.5000 0.5000
```

Calculated values
The total energy is -21.99 eV per atom. The value obtained for the energy of formation from the pure elements is 1435 meV per atom.

---

| no. | density (Mg/m³) |
| --- | --- |
| 1 | 16.020 |
| 2 | 4.544 |
| 3 | 12.270 |
| 4 | 6.222 |
| 5 | 6.272 |
| 6 | 12.827 |
| 7 | 5.915 |
| 8 | 5.877 |